Here is a relaxed BaNiF2 crystal from Alexandria via LeMat-Bulk. Energies are from PBE+U.

a = 7.2203 Å, b = 7.2203 Å, c = 7.2203 Å
α = 29.67°, β = 29.67°, γ = 29.67°
Last column: nearest neighbours and their distance in Å.
Positions (direct):
1 F 0.8748 0.8748 0.8748  3 Ni 2.30
2 F 0.1252 0.1252 0.1252  3 Ni 2.30
3 Ni 0.5000 0.5000 0.5000  6 F 2.30
4 Ba 0.0000 0.0000 0.0000  2 F 2.59

Values from the calculation:
Calculated volume: 20.4 A^3/atom
DFT total energy: -3.419 eV/atom
Symmetry: R-3m, No. 166
Density of states at the Fermi level: 4.87 states/eV/cell